No. 1
# CsSr2Y, optimized geometry, DFT GGA-PBE
data_CsSr2Y
_cell_length_a 5.5128
_cell_length_b 5.5128
_cell_length_c 27.8316
_cell_angle_alpha 90.00
_cell_angle_beta 90.00
_cell_angle_gamma 90.00
_symmetry_space_group_name_H-M 'I -4 2 d'
_symmetry_Int_Tables_number 122
_symmetry_space_group_name_Hall 'I -4 2bw'
loop_
_atom_site_label
_atom_site_type_symbol
_atom_site_fract_x
_atom_site_fract_y
_atom_site_fract_z
_atom_site_occupancy
Cs1 Cs 0.0000 0.0000 0.0000 1
Sr1 Sr 0.2393 0.2500 0.6250 1
Y1 Y 0.0000 0.0000 0.5000 1
# E_form = 674 meV/atom
# distance to the lowest polymorph of the same formula = 241 meV per atom



No. 2
# CsSr2Zn2, optimized geometry, DFT GGA-PBE
data_CsSr2Zn2
_cell_length_a 9.1977
_cell_length_b 9.1977
_cell_length_c 4.6735
_cell_angle_alpha 90.00
_cell_angle_beta 90.00
_cell_angle_gamma 90.00
_symmetry_space_group_name_H-M 'P 4/m b m'
_symmetry_Int_Tables_number 127
_symmetry_space_group_name_Hall '-P 4 2ab'
loop_
_atom_site_label
_atom_site_type_symbol
_atom_site_fract_x
_atom_site_fract_y
_atom_site_fract_z
_atom_site_occupancy
Cs1 Cs 0.0000 0.0000 0.0000 1
Sr1 Sr 0.1582 0.3418 0.5000 1
Zn1 Zn 0.1044 0.6044 0.0000 1
# E_form = 30 meV/atom
# distance to the lowest polymorph of the same formula = 0 meV per atom



No. 3
# CsSr2Zn2, optimized geometry, DFT GGA-PBE
data_CsSr2Zn2
_cell_length_a 9.7286
_cell_length_b 9.7286
_cell_length_c 3.9033
_cell_angle_alpha 90.00
_cell_angle_beta 90.00
_cell_angle_gamma 90.00
_symmetry_space_group_name_H-M 'P 4/m b m'
_symmetry_Int_Tables_number 127
_symmetry_space_group_name_Hall '-P 4 2ab'
loop_
_atom_site_label
_atom_site_type_symbol
_atom_site_fract_x
_atom_site_fract_y
_atom_site_fract_z
_atom_site_occupancy
Cs1 Cs 0.0000 0.0000 0.0000 1
Sr1 Sr 0.1344 0.3656 0.0000 1
Zn1 Zn 0.1556 0.6556 0.5000 1
# E_form = 59 meV/atom
# distance to the lowest polymorph of the same formula = 29 meV per atom



No. 4
# CsSrZn2, optimized geometry, DFT GGA-PBE
data_CsSrZn2
_cell_length_a 9.2103
_cell_length_b 9.2103
_cell_length_c 8.2078
_cell_angle_alpha 90.00
_cell_angle_beta 90.00
_cell_angle_gamma 90.00
_symmetry_space_group_name_H-M 'I -4 2 d'
_symmetry_Int_Tables_number 122
_symmetry_space_group_name_Hall 'I -4 2bw'
loop_
_atom_site_label
_atom_site_type_symbol
_atom_site_fract_x
_atom_site_fract_y
_atom_site_fract_z
_atom_site_occupancy
Cs1 Cs 0.0000 0.0000 0.0000 1
Sr1 Sr 0.0000 0.0000 0.5000 1
Zn1 Zn 0.2181 0.2500 0.6250 1
# E_form = 298 meV/atom
# distance to the lowest polymorph of the same formula = 126 meV per atom



No. 5
# CsSr2Zn2, optimized geometry, DFT GGA-PBE
data_CsSr2Zn2
_cell_length_a 5.9405
_cell_length_b 5.9405
_cell_length_c 11.4241
_cell_angle_alpha 90.00
_cell_angle_beta 90.00
_cell_angle_gamma 90.00
_symmetry_space_group_name_H-M 'I 4/m m m'
_symmetry_Int_Tables_number 139
_symmetry_space_group_name_Hall '-I 4 2'
loop_
_atom_site_label
_atom_site_type_symbol
_atom_site_fract_x
_atom_site_fract_y
_atom_site_fract_z
_atom_site_occupancy
Cs1 Cs 0.0000 0.0000 0.0000 1
Sr1 Sr 0.0000 0.5000 0.2500 1
Zn1 Zn 0.0000 0.0000 0.3897 1
# E_form = 73 meV/atom
# distance to the lowest polymorph of the same formula = 43 meV per atom



No. 6
# Cs2SrZn, optimized geometry, DFT GGA-PBE
data_Cs2SrZn
_cell_length_a 13.2792
_cell_length_b 13.2792
_cell_length_c 6.5828
_cell_angle_alpha 90.00
_cell_angle_beta 90.00
_cell_angle_gamma 90.00
_symmetry_space_group_name_H-M 'I -4 2 d'
_symmetry_Int_Tables_number 122
_symmetry_space_group_name_Hall 'I -4 2bw'
loop_
_atom_site_label
_atom_site_type_symbol
_atom_site_fract_x
_atom_site_fract_y
_atom_site_fract_z
_atom_site_occupancy
Cs1 Cs 0.1226 0.2500 0.1250 1
Sr1 Sr 0.0000 0.0000 0.5000 1
Zn1 Zn 0.0000 0.0000 0.0000 1
# E_form = 222 meV/atom
# distance to the lowest polymorph of the same formula = 0 meV per atom